## Zr2AsP (GGA-PBE)

Data for a relaxed Zr2AsP crystal.

POSCAR file:
```
Zr2AsP
1.0
1.6774 0.9684 8.2586
-1.6774 0.9684 8.2586
0.0000 -1.9368 8.2586
Zr As P
2 1 1
direct
0.0000 0.0000 0.0000 Zr
0.2328 0.2328 0.2328 Zr
0.7531 0.7531 0.7531 As
0.4913 0.4913 0.4913 P
```

## Properties
Total energy   -6.95 eV/atom
Formation energy   -166 meV per atom
Total magnetic moment   0.0 μB per formula unit
Calculated volume   80 Å³ per cell

***

## Zr2AsP (GGA-PBE)

Data for a relaxed Zr2AsP crystal.

POSCAR file:
```
Zr2AsP
1.0
1.8942 1.0936 6.3017
-1.8942 1.0936 6.3017
0.0000 -2.1872 6.3017
Zr As P
2 1 1
direct
0.2418 0.2418 0.2418 Zr
0.7582 0.7582 0.7582 Zr
0.0000 0.0000 0.0000 As
0.5000 0.5000 0.5000 P
```

## Properties
Total energy   -8.03 eV/atom
Formation energy   -1238 meV per atom
Total magnetic moment   0.0 μB per formula unit
Calculated volume   78 Å³ per cell

***

## Zr8As3P4 (GGA-PBE)

Data for a relaxed Zr8As3P4 crystal.

POSCAR file:
```
Zr8As3P4
1.0
5.3481 -5.3593 0.0000
5.3481 5.3593 0.0000
-5.3364 0.0000 5.3539
Zr As P
8 3 4
direct
0.2312 0.2312 0.4758 Zr
0.2329 0.2329 0.9877 Zr
0.2378 0.7622 0.0000 Zr
0.2396 0.7604 0.5000 Zr
0.7604 0.2396 0.5000 Zr
0.7622 0.2378 0.0000 Zr
0.7671 0.7671 0.0123 Zr
0.7688 0.7688 0.5242 Zr
0.0000 0.5000 0.5000 As
0.5000 0.0000 0.5000 As
0.5000 0.5000 0.5000 As
0.0000 0.0000 0.0000 P
0.0000 0.0000 0.5000 P
0.0000 0.5000 0.0000 P
0.5000 0.0000 0.0000 P
```

## Properties
Total energy   -8.07 eV/atom
Formation energy   -1134 meV per atom
Total magnetic moment   0.0 μB per formula unit
Calculated volume   307 Å³ per cell

***

## ZrAsP2 (GGA-PBE)

Data for a relaxed ZrAsP2 crystal.

POSCAR file:
```
ZrAsP2
1.0
4.6591 -1.6940 0.0000
4.6591 1.6940 0.0000
-0.1805 0.0000 4.8024
Zr As P
1 1 2
direct
0.0000 0.0000 0.0000 Zr
0.5000 0.5000 0.5000 As
0.2842 0.2842 0.1610 P
0.7158 0.7158 0.8390 P
```

## Properties
Total energy   -6.35 eV/atom
Formation energy   -346 meV per atom
Total magnetic moment   0.0 μB per formula unit
Calculated volume   76 Å³ per cell

***

## ZrAsP2 (GGA-PBE)

Data for a relaxed ZrAsP2 crystal.

POSCAR file:
```
ZrAsP2
1.0
3.9227 0.0000 0.0000
0.0000 1.8222 5.0146
0.0000 -1.8222 5.0146
Zr As P
1 1 2
direct
0.0000 0.0000 0.0000 Zr
0.5000 0.8004 0.8004 As
0.0000 0.2919 0.2919 P
0.5000 0.5680 0.5680 P
```

## Properties
Total energy   -6.54 eV/atom
Formation energy   -535 meV per atom
Total magnetic moment   0.0 μB per formula unit
Calculated volume   72 Å³ per cell

***

## ZrAsP2 (GGA-PBE)

Data for a relaxed ZrAsP2 crystal.

POSCAR file:
```
ZrAsP2
1.0
3.6305 0.0000 0.0000
0.0000 3.3875 0.0000
-1.7205 0.0000 5.8239
Zr As P
1 1 2
direct
0.0000 0.0000 0.0000 Zr
0.0000 0.0000 0.5000 As
0.3974 0.5000 0.7841 P
0.6026 0.5000 0.2159 P
```

## Properties
Total energy   -6.44 eV/atom
Formation energy   -435 meV per atom
Total magnetic moment   0.0 μB per formula unit
Calculated volume   72 Å³ per cell

***

Please write out number 2 again, unchanged.
## Zr2AsP (GGA-PBE)

Data for a relaxed Zr2AsP crystal.

POSCAR file:
```
Zr2AsP
1.0
1.8942 1.0936 6.3017
-1.8942 1.0936 6.3017
0.0000 -2.1872 6.3017
Zr As P
2 1 1
direct
0.2418 0.2418 0.2418 Zr
0.7582 0.7582 0.7582 Zr
0.0000 0.0000 0.0000 As
0.5000 0.5000 0.5000 P
```

## Properties
Total energy   -8.03 eV/atom
Formation energy   -1238 meV per atom
Total magnetic moment   0.0 μB per formula unit
Calculated volume   78 Å³ per cell

***

total magnetic moment of number 5 (ZrAsP2)?
0.0 μB per formula unit

***

Which formula does entry 5 have?
ZrAsP2